## ZrPaP2 (PBE)

Data for crystalline ZrPaP2 at its relaxed geometry.

Properties
ΔE to the lowest computed polymorph ... 0.137 eV/atom
DOS(E_F) ... 3.7 states/eV/f.u.

Cell lengths 3.7266, 3.7266, 20.4263 Å; angles 90.00, 90.00, 120.00 degrees
Space group R3m (No. 160, hexagonal axes)
Asymmetric unit:
Zr  0.0000  0.0000  0.0000 [3 per cell]
Pa  0.0000  0.0000  0.8264 [3 per cell]
P  0.0000  0.0000  0.4075 [3 per cell]
P  0.0000  0.0000  0.5857 [3 per cell]